(1)
Dy4HoErS8 (PBE-GGA, relaxed); energy = -87.61 eV/cell; formation energy without anion corrections = -27.0 eV per formula unit
1.0
-1.598 -7.867 -0.173
-0.886 -4.069 6.866
-7.245 -2.674 2.176
Dy Ho Er S
4 1 1 8
Direct
0.625 0.625 0.126
0.000 0.500 0.500
0.500 0.000 0.500
0.000 0.000 0.500
0.375 0.375 0.875
0.000 0.000 0.000
0.241 0.772 0.745
0.772 0.241 0.745
0.241 0.241 0.745
0.243 0.243 0.270
0.759 0.226 0.255
0.226 0.759 0.255
0.759 0.759 0.255
0.757 0.757 0.728

=====

(2)
Nd2Ho2Er (PBE-GGA, relaxed); energy = -45.16 eV/cell
1.0
-4.829 2.951 0.772
-0.264 -1.319 3.388
10.935 11.486 3.364
Nd Ho Er
4 4 2
Direct
0.728 0.978 0.455
0.272 0.022 0.545
0.372 0.122 0.744
0.628 0.878 0.256
0.541 0.291 0.082
0.946 0.196 0.893
0.459 0.709 0.918
0.054 0.804 0.107
0.831 0.581 0.662
0.169 0.419 0.338

=====

(3)
CeSmSc2In4 (PBE-GGA, relaxed); energy = -37.49 eV/cell
1.0
5.256 0.000 0.000
2.628 4.551 0.000
2.628 1.517 8.613
Ce Sm Sc In
1 1 2 4
Direct
0.500 0.500 0.500
0.000 0.000 0.000
0.750 0.750 0.750
0.250 0.250 0.250
0.375 0.375 0.876
0.876 0.876 0.373
0.124 0.124 0.627
0.625 0.625 0.124

=====

(4)
Zn7InPd4 (PBE-GGA, relaxed); energy = -34.35 eV/cell
1.0
4.714 0.000 0.000
2.357 7.331 -0.108
2.357 0.188 5.991
Zn In Pd
7 1 4
Direct
0.783 0.848 0.586
0.217 0.152 0.414
0.057 0.652 0.235
0.943 0.348 0.765
0.346 0.585 0.723
0.500 0.000 0.000
0.654 0.415 0.277
0.000 0.000 0.000
0.589 0.204 0.617
0.411 0.796 0.383
0.699 0.649 0.954
0.301 0.351 0.046